(one)
A plane-wave DFT calculation with meta-GGA SCAN was carried out for CoIr2Br at its PBEsol-relaxed geometry.

Calculated values
V: 14.292 Å³ per atom

Cell: 2.7665 4.5857 9.0124 Å, 90.00 90.00 90.00°
Space group Imm2 (No. 44)
Asymmetric unit:
Co1 0.0000 0.0000 0.0000 x2
Ir1 0.0000 0.0000 0.5018 x2
Ir2 0.0000 0.5000 0.7429 x2
Br1 0.0000 0.5000 0.2596 x2

***

(two)
A plane-wave DFT calculation with meta-GGA SCAN was carried out for CoIr2Br at its PBEsol-relaxed geometry.

Calculated values
V: 14.634 Å³ per atom

Cell: 2.7896 2.7896 7.5221 Å, 90.00 90.00 90.00°
Space group P4mm (No. 99)
Asymmetric unit:
Co1 0.0000 0.0000 0.0000 x1
Ir1 0.0000 0.0000 0.4628 x1
Ir2 0.5000 0.5000 0.2260 x1
Br1 0.5000 0.5000 0.7700 x1

***

How far above the most stable structure does each one sit? In meV/atom: (one) 328; (two) 0.

***

(one)
A plane-wave DFT calculation with meta-GGA SCAN was carried out for K2CoBr at its PBEsol-relaxed geometry.

Calculated values
V: 36.822 Å³ per atom

Cell: 4.6825 4.6825 6.7176 Å, 90.00 90.00 90.00°
Space group P4mm (No. 99)
Asymmetric unit:
K1 0.0000 0.0000 0.0000 x1
K2 0.5000 0.5000 0.4985 x1
Co1 0.5000 0.5000 0.9983 x1
Br1 0.0000 0.0000 0.5000 x1

***

(two)
A plane-wave DFT calculation with meta-GGA SCAN was carried out for K2CoBr at its PBEsol-relaxed geometry.

Calculated values
V: 30.553 Å³ per atom

Cell: 7.8775 7.8775 7.8775 Å, 90.00 90.00 90.00°
Space group F-43m (No. 216)
Asymmetric unit:
K1 0.0000 0.0000 0.0000 x4
K2 0.2500 0.2500 0.2500 x4
Co1 0.0000 0.0000 0.5000 x4
Br1 0.2500 0.2500 0.7500 x4

***

How far above the most stable structure does each one sit? In meV/atom: (one) 0; (two) 364.

***

(one)
A plane-wave DFT calculation with meta-GGA SCAN was carried out for KCoBr2 at its PBEsol-relaxed geometry.

Calculated values
V: 22.625 Å³ per atom

Cell: 5.0942 5.0942 3.4874 Å, 90.00 90.00 90.00°
Space group P4/mmm (No. 123)
Asymmetric unit:
K1 0.0000 0.0000 0.0000 x1
Co1 0.5000 0.5000 0.0000 x1
Br1 0.0000 0.5000 0.5000 x2

***

(two)
A plane-wave DFT calculation with meta-GGA SCAN was carried out for KCoBr2 at its PBEsol-relaxed geometry.

Calculated values
V: 26.346 Å³ per atom

Cell: 3.7286 3.7286 7.5804 Å, 90.00 90.00 90.00°
Space group P4mm (No. 99)
Asymmetric unit:
K1 0.0000 0.0000 0.0000 x1
Co1 0.5000 0.5000 0.5220 x1
Br1 0.0000 0.0000 0.5849 x1
Br2 0.5000 0.5000 0.2053 x1

***

How far above the most stable structure does each one sit? In meV/atom: (one) 373; (two) 0.